No. 1
{"formula": "YFeSiIr", "functional": "PBE", "state": "optimized geometry", "lattice": [[6.478, 0.000, 0.000], [0.000, 6.478, 0.000], [0.000, 0.000, 6.478]], "species": ["Y", "Y", "Y", "Y", "Fe", "Fe", "Fe", "Fe", "Si", "Si", "Si", "Si", "Ir", "Ir", "Ir", "Ir"], "frac_coords": [[0.000, 0.000, 0.000], [0.000, 0.500, 0.500], [0.500, 0.000, 0.500], [0.500, 0.500, 0.000], [0.000, 0.000, 0.500], [0.000, 0.500, 0.000], [0.500, 0.000, 0.000], [0.500, 0.500, 0.500], [0.250, 0.250, 0.250], [0.250, 0.750, 0.750], [0.750, 0.250, 0.750], [0.750, 0.750, 0.250], [0.250, 0.250, 0.750], [0.250, 0.750, 0.250], [0.750, 0.250, 0.250], [0.750, 0.750, 0.750]], "rho_g_cm3": 8.92, "de_polymorph_ev_per_atom": 0.2614}


No. 2
{"formula": "HfInNO", "functional": "PBE", "state": "optimized geometry", "lattice": [[4.096, 0.000, 0.000], [0.000, 4.096, 0.000], [0.000, 0.000, 7.510]], "species": ["Hf", "Hf", "In", "In", "N", "N", "O", "O"], "frac_coords": [[0.250, 0.750, 0.000], [0.750, 0.250, 0.000], [0.250, 0.250, 0.376], [0.750, 0.750, 0.624], [0.250, 0.250, 0.918], [0.750, 0.750, 0.082], [0.250, 0.750, 0.500], [0.750, 0.250, 0.500]], "rho_g_cm3": 8.52, "de_polymorph_ev_per_atom": 0.4187}